DFT (GGA-PBE) results for a relaxed structure of La2Pr3Y.

Cell: 3.4703 6.9864 17.7948 Å, 90.00 90.00 90.00°
Fractional positions:
La 0.5000 0.7571 0.1607
La 0.0000 0.2571 0.3393
La 0.0000 0.7429 0.6607
La 0.5000 0.2429 0.8393
Pr 0.0000 0.0000 0.0000
Pr 0.5000 0.5000 0.5000
Pr 0.5000 0.7562 0.8297
Pr 0.5000 0.2438 0.1703
Pr 0.0000 0.2562 0.6703
Pr 0.0000 0.7438 0.3297
Y 0.0000 0.0000 0.5000
Y 0.5000 0.5000 0.0000

**Formation energy**: 0.224 eV/atom
**D(E_F)**: 10.73 states/eV/f.u.

***

DFT (GGA-PBE) results for a relaxed structure of La5Pr2Y2.

Cell: 11.9822 7.0313 10.2543 Å, 110.05 125.75 90.00°
Fractional positions:
La 0.1863 0.6669 0.8964
La 0.8137 0.7705 0.1036
La 0.2101 0.1669 0.8964
La 0.7899 0.2705 0.1036
La 0.3712 0.0222 0.2869
La 0.6288 0.7353 0.7131
La 0.4157 0.5222 0.2869
La 0.5843 0.2353 0.7131
La 0.9983 0.6443 0.5000
La 0.0017 0.1443 0.5000
Pr 0.0000 0.0626 0.0000
Pr 0.5000 0.5626 0.0000
Pr 0.2545 0.3436 0.5000
Pr 0.7455 0.8436 0.5000
Y 0.1327 0.6724 0.2543
Y 0.8673 0.4181 0.7457
Y 0.6216 0.1724 0.2543
Y 0.3784 0.9181 0.7457

**Formation energy**: 0.172 eV/atom
**D(E_F)**: 12.66 states/eV/f.u.

***

DFT (GGA-PBE) results for a relaxed structure of La5Pr4Y.

Cell: 11.8227 6.9742 9.2538 Å, 90.00 90.00 90.00°
Fractional positions:
La 0.2806 0.7450 0.8193
La 0.2806 0.2550 0.8193
La 0.7855 0.5000 0.0000
La 0.2806 0.7450 0.1807
La 0.2806 0.2550 0.1807
La 0.7194 0.7550 0.3193
La 0.7194 0.2450 0.3193
La 0.2145 0.0000 0.5000
La 0.7194 0.2450 0.6807
La 0.7194 0.7550 0.6807
Pr 0.9963 0.0000 0.7066
Pr 0.5413 0.7546 0.0000
Pr 0.5413 0.2454 0.0000
Pr 0.9963 0.0000 0.2934
Pr 0.0037 0.5000 0.2066
Pr 0.4587 0.7454 0.5000
Pr 0.4587 0.2546 0.5000
Pr 0.0037 0.5000 0.7934
Y 0.8126 0.0000 0.0000
Y 0.1874 0.5000 0.5000

**Formation energy**: 0.300 eV/atom
**D(E_F)**: 16.30 states/eV/f.u.

***

DFT (GGA-PBE) results for a relaxed structure of La3Pr2Y.

Cell: 3.4932 6.9471 17.9980 Å, 90.00 90.00 90.00°
Fractional positions:
La 0.0000 0.0000 0.0000
La 0.5000 0.5000 0.5000
La 0.5000 0.7423 0.8217
La 0.5000 0.2577 0.1783
La 0.0000 0.2423 0.6783
La 0.0000 0.7577 0.3217
Pr 0.5000 0.7671 0.1538
Pr 0.0000 0.2671 0.3462
Pr 0.0000 0.7329 0.6538
Pr 0.5000 0.2329 0.8462
Y 0.0000 0.0000 0.5000
Y 0.5000 0.5000 0.0000

**Formation energy**: 0.220 eV/atom
**D(E_F)**: 10.98 states/eV/f.u.

***

DFT (GGA-PBE) results for a relaxed structure of La2Pr15Y2.

Cell: 9.0485 9.0485 9.0485 Å, 79.56 79.56 79.56°
Fractional positions:
La 0.6787 0.6787 0.6787
La 0.3213 0.3213 0.3213
Pr 0.5000 0.0000 0.0000
Pr 0.0000 0.0000 0.5000
Pr 0.0000 0.5000 0.0000
Pr 0.0000 0.2942 0.7058
Pr 0.2942 0.7058 0.0000
Pr 0.7058 0.0000 0.2942
Pr 0.7058 0.2942 0.0000
Pr 0.2942 0.0000 0.7058
Pr 0.0000 0.7058 0.2942
Pr 0.8484 0.3705 0.3705
Pr 0.3705 0.3705 0.8484
Pr 0.3705 0.8484 0.3705
Pr 0.1516 0.6295 0.6295
Pr 0.6295 0.6295 0.1516
Pr 0.6295 0.1516 0.6295
Y 0.9061 0.9061 0.9061
Y 0.0939 0.0939 0.0939

**Formation energy**: 0.225 eV/atom
**D(E_F)**: 32.93 states/eV/f.u.

***

DFT (GGA-PBE) results for a relaxed structure of La3Pr2Y4.

Cell: 3.5357 9.9939 10.3703 Å, 118.81 99.82 90.00°
Fractional positions:
La 0.6594 0.1594 0.3187
La 0.5000 0.5000 0.0000
La 0.3406 0.8406 0.6813
Pr 0.0000 0.8302 0.0000
Pr 0.0000 0.1698 0.0000
Y 0.1683 0.8438 0.3367
Y 0.8317 0.5072 0.6633
Y 0.8317 0.1562 0.6633
Y 0.1683 0.4928 0.3367

**Formation energy**: 0.113 eV/atom
**D(E_F)**: 15.84 states/eV/f.u.

***

DFT (GGA-PBE) results for a relaxed structure of LaPr10Y6.

Cell: 7.0001 9.9858 9.9858 Å, 120.00 90.00 90.00°
Fractional positions:
La 0.5000 0.0000 0.0000
Pr 0.8245 0.7209 0.7209
Pr 0.8245 0.0000 0.2791
Pr 0.8245 0.2791 0.0000
Pr 0.1755 0.2791 0.2791
Pr 0.1755 0.0000 0.7209
Pr 0.1755 0.7209 0.0000
Pr 0.5000 0.3333 0.6667
Pr 0.5000 0.6667 0.3333
Pr 0.0000 0.6667 0.3333
Pr 0.0000 0.3333 0.6667
Y 0.6828 0.3666 0.3666
Y 0.6828 0.0000 0.6334
Y 0.6828 0.6334 0.0000
Y 0.3172 0.6334 0.6334
Y 0.3172 0.0000 0.3666
Y 0.3172 0.3666 0.0000

**Formation energy**: 0.133 eV/atom
**D(E_F)**: 28.19 states/eV/f.u.

***

DFT (GGA-PBE) results for a relaxed structure of La3Pr7Y.

Cell: 6.6134 7.9289 7.9289 Å, 82.01 86.58 86.58°
Fractional positions:
La 0.0000 0.8260 0.1740
La 0.5000 0.0000 0.0000
La 0.0000 0.1740 0.8260
Pr 0.7861 0.2380 0.2380
Pr 0.7382 0.9149 0.5696
Pr 0.2618 0.4304 0.0851
Pr 0.7382 0.5696 0.9149
Pr 0.0000 0.5000 0.5000
Pr 0.2618 0.0851 0.4304
Pr 0.2139 0.7620 0.7620
Y 0.5000 0.5000 0.5000

**Formation energy**: 0.208 eV/atom
**D(E_F)**: 16.77 states/eV/f.u.

***

DFT (GGA-PBE) results for a relaxed structure of LaPr4Y7.

Cell: 5.9819 11.8867 6.8360 Å, 82.82 64.05 75.43°
Fractional positions:
La 0.0000 0.0000 0.0000
Pr 0.6352 0.2234 0.5062
Pr 0.3648 0.7766 0.4938
Pr 0.7738 0.6685 0.7839
Pr 0.2262 0.3315 0.2161
Y 0.7903 0.9229 0.4965
Y 0.2097 0.0771 0.5035
Y 0.0679 0.6822 0.1821
Y 0.9321 0.3178 0.8179
Y 0.3668 0.4971 0.7693
Y 0.5000 0.0000 0.0000
Y 0.6332 0.5029 0.2307

**Formation energy**: 0.248 eV/atom
**D(E_F)**: 20.96 states/eV/f.u.

***

DFT (GGA-PBE) results for a relaxed structure of La8Pr6Y.

Cell: 9.6113 9.6113 8.8228 Å, 57.00 57.00 60.00°
Fractional positions:
La 0.3356 0.2333 0.5170
La 0.7667 0.0858 0.4830
La 0.0858 0.6644 0.4830
La 0.5738 0.5738 0.2785
La 0.4262 0.4262 0.7215
La 0.9142 0.3356 0.5170
La 0.2333 0.9142 0.5170
La 0.6644 0.7667 0.4830
Pr 0.4399 0.8945 0.9276
Pr 0.1055 0.2620 0.0724
Pr 0.2620 0.5601 0.0724
Pr 0.7380 0.4399 0.9276
Pr 0.8945 0.7380 0.9276
Pr 0.5601 0.1055 0.0724
Y 0.0000 0.0000 0.0000

**Formation energy**: 0.124 eV/atom
**D(E_F)**: 23.59 states/eV/f.u.

***

DFT (GGA-PBE) results for a relaxed structure of La3Pr4Y5.

Cell: 7.3174 11.5818 13.2041 Å, 151.29 56.43 129.11°
Fractional positions:
La 0.5810 0.1632 0.3322
La 0.0000 0.0000 0.5000
La 0.4190 0.8368 0.6678
Pr 0.9171 0.8372 0.6691
Pr 0.8320 0.6624 0.8307
Pr 0.1680 0.3376 0.1693
Pr 0.0829 0.1628 0.3309
Y 0.3306 0.6651 0.8343
Y 0.5000 0.0000 0.5000
Y 0.7507 0.5020 0.0015
Y 0.2493 0.4980 0.9985
Y 0.6694 0.3349 0.1657

**Formation energy**: 0.016 eV/atom
**D(E_F)**: 17.84 states/eV/f.u.

***

DFT (GGA-PBE) results for a relaxed structure of LaPr6Y.

Cell: 5.2329 5.2329 10.4759 Å, 90.00 90.00 90.00°
Fractional positions:
La 0.0000 0.0000 0.0000
Pr 0.5000 0.5000 0.0000
Pr 0.5000 0.5000 0.5000
Pr 0.5000 0.0000 0.2530
Pr 0.5000 0.0000 0.7470
Pr 0.0000 0.5000 0.2530
Pr 0.0000 0.5000 0.7470
Y 0.0000 0.0000 0.5000

**Formation energy**: 0.014 eV/atom
**D(E_F)**: 14.37 states/eV/f.u.

***

DFT (GGA-PBE) results for a relaxed structure of La3Pr2Y2.

Cell: 3.6913 12.1772 6.3799 Å, 69.96 73.19 98.76°
Fractional positions:
La 0.0000 0.0000 0.0000
La 0.5733 0.4286 0.2826
La 0.4267 0.5714 0.7174
Pr 0.8579 0.1433 0.4264
Pr 0.1421 0.8567 0.5736
Y 0.7149 0.2861 0.8567
Y 0.2851 0.7139 0.1433

**Formation energy**: 0.017 eV/atom
**D(E_F)**: 10.90 states/eV/f.u.

***

DFT (GGA-PBE) results for a relaxed structure of La2PrY5.

Cell: 10.3352 7.2430 14.5133 Å, 90.00 90.00 90.00°
Fractional positions:
La 0.7486 0.0000 0.5000
La 0.2514 0.5000 0.0000
La 0.2514 0.0000 0.5000
La 0.7486 0.5000 0.0000
La 0.5000 0.7461 0.6265
La 0.5000 0.2539 0.3735
La 0.5000 0.7539 0.1265
La 0.5000 0.2461 0.8735
Pr 0.0000 0.2458 0.8744
Pr 0.0000 0.7542 0.1256
Pr 0.0000 0.2542 0.3744
Pr 0.0000 0.7458 0.6256
Y 0.7513 0.0000 0.0000
Y 0.2487 0.5000 0.5000
Y 0.2487 0.0000 0.0000
Y 0.7513 0.5000 0.5000
Y 0.0000 0.2456 0.6255
Y 0.0000 0.7544 0.3745
Y 0.0000 0.2544 0.1255
Y 0.0000 0.7456 0.8745
Y 0.5000 0.2452 0.6250
Y 0.5000 0.7548 0.3750
Y 0.5000 0.2548 0.1250
Y 0.5000 0.7452 0.8750
Y 0.7521 0.4943 0.7486
Y 0.7521 0.5057 0.2514
Y 0.2479 0.0057 0.2486
Y 0.2479 0.9943 0.7514
Y 0.2479 0.5057 0.2514
Y 0.2479 0.4943 0.7486
Y 0.7521 0.9943 0.7514
Y 0.7521 0.0057 0.2486

**Formation energy**: 0.024 eV/atom
**D(E_F)**: 12.90 states/eV/f.u.

***

DFT (GGA-PBE) results for a relaxed structure of La3Pr2Y2.

Cell: 3.5851 8.7593 9.2059 Å, 118.13 101.23 90.00°
Fractional positions:
La 0.0000 0.5000 0.0000
La 0.2131 0.7945 0.4262
La 0.7869 0.2055 0.5738
Pr 0.5651 0.9118 0.1303
Pr 0.4349 0.0882 0.8697
Y 0.8534 0.6664 0.7067
Y 0.1466 0.3336 0.2933

**Formation energy**: 0.103 eV/atom
**D(E_F)**: 11.95 states/eV/f.u.

***

DFT (GGA-PBE) results for a relaxed structure of LaPrY4.

Cell: 6.3021 6.3021 12.3001 Å, 104.78 104.78 60.03°
Fractional positions:
La 0.5000 0.0000 0.5000
La 0.0000 0.5000 0.0000
Pr 0.0800 0.9200 0.2500
Pr 0.9200 0.0800 0.7500
Y 0.2510 0.4179 0.7501
Y 0.1676 0.6641 0.4994
Y 0.8324 0.3359 0.5006
Y 0.4179 0.2510 0.2501
Y 0.5821 0.7490 0.7499
Y 0.3359 0.8324 0.0006
Y 0.6641 0.1676 0.9994
Y 0.7490 0.5821 0.2499

**Formation energy**: 0.009 eV/atom
**D(E_F)**: 9.00 states/eV/f.u.

***

DFT (GGA-PBE) results for a relaxed structure of La7Pr2Y3.

Cell: 3.6864 6.0342 19.3507 Å, 93.73 90.00 90.00°
Fractional positions:
La 0.5000 0.7401 0.4665
La 0.5000 0.2599 0.5335
La 0.0000 0.6684 0.1456
La 0.0000 0.0000 0.0000
La 0.0000 0.3316 0.8544
La 0.5000 0.8321 0.8197
La 0.5000 0.1679 0.1803
Pr 0.5000 0.6992 0.2997
Pr 0.5000 0.3008 0.7003
Y 0.5000 0.5000 0.0000
Y 0.0000 0.2115 0.3654
Y 0.0000 0.7885 0.6346

**Formation energy**: 0.079 eV/atom
**D(E_F)**: 21.05 states/eV/f.u.

***

DFT (GGA-PBE) results for a relaxed structure of La5PrY4.

Cell: 3.7152 3.7152 25.4343 Å, 90.00 90.00 90.00°
Fractional positions:
La 0.5000 0.5000 0.1026
La 0.5000 0.5000 0.3019
La 0.5000 0.5000 0.5000
La 0.5000 0.5000 0.6981
La 0.5000 0.5000 0.8974
Pr 0.0000 0.0000 0.0000
Y 0.0000 0.0000 0.2029
Y 0.0000 0.0000 0.4010
Y 0.0000 0.0000 0.5990
Y 0.0000 0.0000 0.7971

**Formation energy**: 0.021 eV/atom
**D(E_F)**: 16.63 states/eV/f.u.

***

DFT (GGA-PBE) results for a relaxed structure of La2Pr7Y.

Cell: 3.5421 15.2952 15.2953 Å, 154.04 90.00 90.00°
Fractional positions:
La 0.5000 0.7036 0.2964
La 0.5000 0.2964 0.7036
Pr 0.0000 0.8106 0.1894
Pr 0.0000 0.1894 0.8106
Pr 0.5000 0.1447 0.3416
Pr 0.5000 0.8553 0.6584
Pr 0.5000 0.3416 0.1447
Pr 0.5000 0.6584 0.8553
Pr 0.5000 0.5000 0.5000
Y 0.0000 0.0000 0.0000

**Formation energy**: 0.133 eV/atom
**D(E_F)**: 15.78 states/eV/f.u.